No. 1
Compound: ReNiP
Source: Alexandria
Functional: GGA-PBE
Structure: optimized geometry

## Properties
* space-group type: No. 107
* ΔE to the lowest computed polymorph: 180 meV per atom
* size of the total moment: 0.000 μB/cell

a b c (Å): 4.8497 4.8497 4.8497
angles (deg): 144.83 144.83 50.58
With the nearest neighbours (Å) after each atom.
Fractional positions:
Re 0.0000 0.0000 0.0000  4 P 2.46, 5 Ni 2.66-2.70
Ni 0.3030 0.3030 0.0000  4 P 2.46, 5 Re 2.66-2.70
P 0.6520 0.6520 0.0000  4 Ni 2.46, 4 Re 2.46

=====

No. 2
Compound: BeIrAuO
Source: Alexandria
Functional: GGA-PBE
Structure: optimized geometry

## Properties
* energy relative to the elements, uncorrected: -0.8670 eV per atom
* space-group type: No. 160
* ΔE to the lowest computed polymorph: 15 meV per atom
* size of the total moment: 0.424 μB/cell

a b c (Å): 9.2981 9.2981 9.2981
angles (deg): 16.75 16.75 16.75
With the nearest neighbours (Å) after each atom.
Fractional positions:
Be 0.0000 0.0000 0.0000  3 O 1.56
Ir 0.5502 0.5502 0.5502  6 Ir 2.71, 3 Au 2.94
Au 0.7929 0.7929 0.7929  6 Au 2.71, 3 Ir 2.94
O 0.6675 0.6675 0.6675  3 Be 1.56

=====

No. 3
Compound: Rb2PtI6Cl
Source: Alexandria
Functional: GGA-PBE
Structure: optimized geometry

## Properties
* energy relative to the elements, uncorrected: -0.6819 eV per atom
* space-group type: No. 139
* size of the total moment: 0.000 μB/cell

a b c (Å): 8.2607 8.2607 8.2607
angles (deg): 117.10 117.10 95.09
With the nearest neighbours (Å) after each atom.
Fractional positions:
Rb 0.2500 0.7500 0.5000  12 I 4.15-4.31
Rb 0.7500 0.2500 0.5000  12 I 4.15-4.31
Pt 0.0000 0.0000 0.0000  6 I 2.69-2.79
I 0.2203 0.2203 0.4407  1 Pt 2.69
I 0.2203 0.7797 0.0000  1 Pt 2.69
I 0.2499 0.2499 0.0000  1 Pt 2.79, 1 Cl 2.79
I 0.7501 0.7501 0.0000  1 Pt 2.79, 1 Cl 2.79
I 0.7797 0.2203 0.0000  1 Pt 2.69
I 0.7797 0.7797 0.5593  1 Pt 2.69
Cl 0.5000 0.5000 0.0000  2 I 2.79

=====

No. 4
Compound: PmSmSiAu
Source: Alexandria
Functional: GGA-PBE
Structure: optimized geometry

## Properties
* energy relative to the elements, uncorrected: -0.6314 eV per atom
* space-group type: No. 216
* size of the total moment: 0.685 μB/cell

a b c (Å): 5.1677 5.1677 5.1677
angles (deg): 60.00 60.00 60.00
With the nearest neighbours (Å) after each atom.
Fractional positions:
Pm 0.0000 0.0000 0.0000  4 Si 3.16, 4 Au 3.16
Sm 0.5000 0.5000 0.5000  4 Si 3.16, 4 Au 3.16
Si 0.7500 0.7500 0.7500  4 Pm 3.16, 4 Sm 3.16
Au 0.2500 0.2500 0.2500  4 Pm 3.16, 4 Sm 3.16

=====

No. 5
Compound: Sm2PtN
Source: Alexandria
Functional: GGA-PBE
Structure: optimized geometry

## Properties
* energy relative to the elements, uncorrected: -1.1041 eV per atom
* space-group type: No. 166
* size of the total moment: 0.000 μB/cell

a b c (Å): 7.1992 7.1992 7.1992
angles (deg): 29.74 29.74 29.74
With the nearest neighbours (Å) after each atom.
Fractional positions:
Sm 0.2352 0.2352 0.2352  3 N 2.56
Sm 0.7648 0.7648 0.7648  3 N 2.56
Pt 0.0000 0.0000 0.0000  6 Sm 2.94
N 0.5000 0.5000 0.5000  6 Sm 2.56

=====

No. 6
Compound: La2Al12ZnNi3
Source: Alexandria
Functional: GGA-PBE
Structure: optimized geometry

## Properties
* space-group type: No. 166
* size of the total moment: 0.000 μB/cell

a b c (Å): 7.7265 7.7265 7.7265
angles (deg): 68.41 68.41 68.41
With the nearest neighbours (Å) after each atom.
Fractional positions:
La 0.0860 0.0860 0.0860  1 La 3.03, 6 Al 3.18-3.34
La 0.9140 0.9140 0.9140  1 La 3.03, 6 Al 3.18-3.34
Al 0.1214 0.6361 0.6361  1 Ni 2.31
Al 0.2405 0.2405 0.6061  2 Ni 2.31
Al 0.2405 0.6061 0.2405  2 Ni 2.31
Al 0.3639 0.3639 0.8786  1 Ni 2.31
Al 0.3639 0.8786 0.3639  1 Ni 2.31
Al 0.3939 0.7595 0.7595  2 Ni 2.31
Al 0.6061 0.2405 0.2405  2 Ni 2.31
Al 0.6361 0.1214 0.6361  1 Ni 2.31
Al 0.6361 0.6361 0.1214  1 Ni 2.31
Al 0.7595 0.3939 0.7595  2 Ni 2.31
Al 0.7595 0.7595 0.3939  2 Ni 2.31
Al 0.8786 0.3639 0.3639  1 Ni 2.31
Zn 0.5000 0.5000 0.5000  6 Al 2.66
Ni 0.0000 0.5000 0.5000  6 Al 2.31
Ni 0.5000 0.0000 0.5000  6 Al 2.31
Ni 0.5000 0.5000 0.0000  6 Al 2.31

=====

No. 7
Compound: Tb2ZnRu3
Source: Alexandria
Functional: GGA-PBE
Structure: optimized geometry

## Properties
* space-group type: No. 166
* size of the total moment: 1.394 μB/cell

a b c (Å): 5.3291 5.3291 5.3291
angles (deg): 60.66 60.66 60.66
With the nearest neighbours (Å) after each atom.
Fractional positions:
Tb 0.1230 0.1230 0.1230  9 Ru 3.13-3.14, 3 Zn 3.16, 4 Tb 3.20-3.31
Tb 0.8770 0.8770 0.8770  9 Ru 3.13-3.14, 3 Zn 3.16, 4 Tb 3.20-3.31
Zn 0.5000 0.5000 0.5000  6 Ru 2.66
Ru 0.0000 0.5000 0.5000  2 Zn 2.66, 4 Ru 2.69
Ru 0.5000 0.0000 0.5000  2 Zn 2.66, 4 Ru 2.69
Ru 0.5000 0.5000 0.0000  2 Zn 2.66, 4 Ru 2.69

=====

No. 8
Compound: V7Co6Ir16
Source: Alexandria
Functional: GGA-PBE
Structure: optimized geometry

## Properties
* space-group type: No. 225
* size of the total moment: 13.675 μB/cell

a b c (Å): 8.3584 8.3584 8.3584
angles (deg): 60.00 60.00 60.00
With the nearest neighbours (Å) after each atom.
Fractional positions:
V 0.0000 0.0000 0.0000  8 Ir 2.73, 6 Co 2.82
V 0.0000 0.0000 0.5000  8 Ir 2.51-2.57
V 0.0000 0.5000 0.0000  8 Ir 2.51-2.57
V 0.0000 0.5000 0.5000  8 Ir 2.51-2.57
V 0.5000 0.0000 0.0000  8 Ir 2.51-2.57
V 0.5000 0.0000 0.5000  8 Ir 2.51-2.57
V 0.5000 0.5000 0.0000  8 Ir 2.51-2.57
Co 0.2389 0.2389 0.7611  8 Ir 2.56-2.63, 1 V 2.82
Co 0.2389 0.7611 0.2389  8 Ir 2.56-2.63, 1 V 2.82
Co 0.2389 0.7611 0.7611  8 Ir 2.56-2.63, 1 V 2.82
Co 0.7611 0.2389 0.2389  8 Ir 2.56-2.63, 1 V 2.82
Co 0.7611 0.2389 0.7611  8 Ir 2.56-2.63, 1 V 2.82
Co 0.7611 0.7611 0.2389  8 Ir 2.56-2.63, 1 V 2.82
Ir 0.1295 0.6235 0.6235  3 V 2.57, 3 Co 2.63
Ir 0.1334 0.1334 0.1334  4 V 2.51-2.73, 3 Co 2.56
Ir 0.1334 0.1334 0.5998  4 V 2.51-2.73, 3 Co 2.56
Ir 0.1334 0.5998 0.1334  4 V 2.51-2.73, 3 Co 2.56
Ir 0.3765 0.3765 0.3765  3 V 2.57, 3 Co 2.63
Ir 0.3765 0.3765 0.8705  3 V 2.57, 3 Co 2.63
Ir 0.3765 0.8705 0.3765  3 V 2.57, 3 Co 2.63
Ir 0.4002 0.8666 0.8666  4 V 2.51-2.73, 3 Co 2.56
Ir 0.5998 0.1334 0.1334  4 V 2.51-2.73, 3 Co 2.56
Ir 0.6235 0.1295 0.6235  3 V 2.57, 3 Co 2.63
Ir 0.6235 0.6235 0.1295  3 V 2.57, 3 Co 2.63
Ir 0.6235 0.6235 0.6235  3 V 2.57, 3 Co 2.63
Ir 0.8666 0.4002 0.8666  4 V 2.51-2.73, 3 Co 2.56
Ir 0.8666 0.8666 0.4002  4 V 2.51-2.73, 3 Co 2.56
Ir 0.8666 0.8666 0.8666  4 V 2.51-2.73, 3 Co 2.56
Ir 0.8705 0.3765 0.3765  3 V 2.57, 3 Co 2.63

=====

No. 9
Compound: NbBS2Br
Source: Alexandria
Functional: GGA-PBE
Structure: optimized geometry

## Properties
* energy relative to the elements, uncorrected: 0.6058 eV per atom
* space-group type: No. 123
* size of the total moment: 0.393 μB/cell

a b c (Å): 4.7593 4.7593 5.3680
angles (deg): 90.00 90.00 90.00
With the nearest neighbours (Å) after each atom.
Fractional positions:
Nb 0.0000 0.0000 0.0000  4 S 2.38
B 0.5000 0.5000 0.5000  4 Br 3.37, 8 S 3.59
S 0.0000 0.5000 0.0000  2 Nb 2.38
S 0.5000 0.0000 0.0000  2 Nb 2.38
Br 0.0000 0.0000 0.5000  2 Nb 2.68

=====

No. 10
Compound: Nd2Mg2Tl7
Source: Alexandria
Functional: GGA-PBE
Structure: optimized geometry

## Properties
* space-group type: No. 44
* size of the total moment: 0.000 μB/cell

a b c (Å): 10.7673 10.7673 10.7673
angles (deg): 160.49 54.52 129.63
With the nearest neighbours (Å) after each atom.
Fractional positions:
Nd 0.2434 0.0000 0.2434  7 Tl 3.27-3.49, 2 Nd 3.65
Nd 0.7566 0.0000 0.7566  7 Tl 3.27-3.49, 2 Nd 3.65
Mg 0.3627 0.8627 0.5000  8 Tl 3.07-3.32
Mg 0.7341 0.7341 0.0000  7 Tl 2.99-3.18
Tl 0.0602 0.0602 0.0000  3 Mg 2.99-3.32
Tl 0.0638 0.7053 0.3585  1 Mg 3.07, 2 Nd 3.27, 2 Tl 3.32
Tl 0.3468 0.7053 0.6415  1 Mg 3.07, 2 Nd 3.27, 2 Tl 3.32
Tl 0.3906 0.5017 0.8889  3 Mg 3.01-3.08, 4 Tl 3.32-3.36, 2 Nd 3.33
Tl 0.6128 0.5017 0.1111  3 Mg 3.01-3.08, 4 Tl 3.32-3.36, 2 Nd 3.33
Tl 0.6751 0.3067 0.3684  2 Mg 3.18, 2 Nd 3.32, 2 Tl 3.36
Tl 0.9383 0.3067 0.6316  2 Mg 3.18, 2 Nd 3.32, 2 Tl 3.36

=====

No. 11
Compound: IrCl2F
Source: Alexandria
Functional: GGA-PBE
Structure: optimized geometry

## Properties
* energy relative to the elements, uncorrected: 0.1568 eV per atom
* space-group type: No. 166
* ΔE to the lowest computed polymorph: 824 meV per atom
* size of the total moment: 0.662 μB/cell

a b c (Å): 9.4307 9.4307 9.4307
angles (deg): 17.62 17.62 17.62
With the nearest neighbours (Å) after each atom.
Fractional positions:
Ir 0.0000 0.0000 0.0000  2 Cl 2.22
Cl 0.0797 0.0797 0.0797  1 Ir 2.22
Cl 0.9203 0.9203 0.9203  1 Ir 2.22
F 0.5000 0.5000 0.5000  6 F 2.89, 6 Cl 2.94

=====

No. 12
Compound: Sc2GaRe2
Source: Alexandria
Functional: GGA-PBE
Structure: optimized geometry

## Properties
* space-group type: No. 127
* size of the total moment: 0.000 μB/cell

a b c (Å): 6.5709 6.5709 4.3362
angles (deg): 90.00 90.00 90.00
With the nearest neighbours (Å) after each atom.
Fractional positions:
Sc 0.1722 0.3278 0.0000  6 Re 2.85-2.95
Sc 0.3278 0.8278 0.0000  6 Re 2.85-2.95
Sc 0.6722 0.1722 0.0000  6 Re 2.85-2.95
Sc 0.8278 0.6722 0.0000  6 Re 2.85-2.95
Ga 0.0000 0.0000 0.5000  4 Re 2.58
Ga 0.5000 0.5000 0.5000  4 Re 2.58
Re 0.1293 0.6293 0.5000  1 Re 2.40, 2 Ga 2.58
Re 0.3707 0.1293 0.5000  1 Re 2.40, 2 Ga 2.58
Re 0.6293 0.8707 0.5000  1 Re 2.40, 2 Ga 2.58
Re 0.8707 0.3707 0.5000  1 Re 2.40, 2 Ga 2.58

=====

Across the entries above, total energy takes the values -7.915; -6.073; -2.594; -5.174; -7.055; -4.070; -6.706; -8.605; -4.729; -2.739; -3.450; -8.233 eV per atom, respectively.
Across the entries above, density of states at the Fermi level takes the values 1.88; 3.99; 9.64; 3.25; 2.12; 11.93; 6.05; 35.34; 3.48; 6.11; 4.59; 2.93 states/eV/f.u., respectively.